[1]
First-principles (GGA-PBE) data for crystalline PrGd3Pt4 at its relaxed geometry, as listed in OQMD.

Lattice parameters (Å, degrees): 5.6473 4.5720 7.1979 90.00 90.54 90.00
Element x y z (fractional)
Pr 0.0000 0.0000 0.0000
Gd 0.2814 0.5000 0.3670
Gd 0.5006 0.5000 0.8627
Gd 0.7801 0.0000 0.5005
Pt 0.2999 0.0000 0.6336
Pt 0.4872 0.0000 0.1425
Pt 0.7905 0.5000 0.2358
Pt 0.9840 0.5000 0.7162

Results
For the total magnetic moment, the calculation gives 0.00 μB per atom. As for the crystal system: monoclinic. For the energy relative to the elements, the calculation gives -1.216 eV/atom.

=====

[2]
First-principles (GGA-PBE) data for crystalline CdPd2S4 at its relaxed geometry, as listed in OQMD.

Lattice parameters (Å, degrees): 7.4033 7.4033 7.4033 60.00 60.00 60.00
Element x y z (fractional)
Cd 0.1250 0.1250 0.1250
Cd 0.8750 0.8750 0.8750
Pd 0.0000 0.5000 0.5000
Pd 0.5000 0.0000 0.5000
Pd 0.5000 0.5000 0.0000
Pd 0.5000 0.5000 0.5000
S 0.2667 0.2667 0.2667
S 0.2667 0.2667 0.7000
S 0.2667 0.7000 0.2667
S 0.3000 0.7333 0.7333
S 0.7000 0.2667 0.2667
S 0.7333 0.3000 0.7333
S 0.7333 0.7333 0.3000
S 0.7333 0.7333 0.7333

Results
As for the crystal system: cubic.

=====

[3]
First-principles (GGA-PBE) data for crystalline PrBr2O at its relaxed geometry, as listed in OQMD.

Lattice parameters (Å, degrees): 6.9987 6.9987 9.0033 108.84 108.84 36.65
Element x y z (fractional)
Pr 0.0009 0.0009 0.2520
Pr 0.9991 0.9991 0.7480
Br 0.1390 0.1732 0.5803
Br 0.1409 0.1818 0.0791
Br 0.8182 0.8591 0.9209
Br 0.8268 0.8610 0.4197
O 0.4977 0.4989 0.7896
O 0.5011 0.5023 0.2104

Results
For the total magnetic moment, the calculation gives 0.25 μB per atom. As for the crystal system: monoclinic.

=====

[4]
First-principles (GGA-PBE) data for crystalline ErPuAg at its relaxed geometry, as listed in OQMD.

Lattice parameters (Å, degrees): 4.7600 4.7600 4.7600 60.00 60.00 60.00
Element x y z (fractional)
Er 0.0000 0.0000 0.0000
Pu 0.2500 0.2500 0.2500
Ag 0.7500 0.7500 0.7500

Results
For the total magnetic moment, the calculation gives 2.02 μB per atom. As for the crystal system: cubic. For the energy relative to the elements, the calculation gives 0.597 eV/atom. Its relative energy among the computed polymorphs is 0.00 kcal/mol of atoms.

=====

| no. | total energy (eV/cell) |
| --- | --- |
| 1 | -52.691 |
| 2 | -59.083 |
| 3 | -39.106 |
| 4 | -19.724 |